No. 1
The following is a GGA-PBE calculation of a relaxed MgZn2Cd crystal, from the Alexandria database.

Results
Space-group type   I-4m2, No. 119
Formation enthalpy at 0 K   -0.01 eV/atom
Final energy   -1.2722 eV per atom
Energy above the most stable polymorph in this dataset   26 meV/atom

Cell lengths 5.125, 5.125, 5.125 Å; angles 131.60, 131.60, 70.86 degrees
Fractional coordinates of all 4 atoms:
Mg1 0.000 0.000 0.000
Zn1 0.250 0.750 0.500
Zn2 0.500 0.500 0.000
Cd1 0.750 0.250 0.500



No. 2
The following is a GGA-PBE calculation of a relaxed In2PdI2 crystal, from the Alexandria database.

Results
Space-group type   P4/mbm, No. 127
Final energy   -2.8082 eV per atom
Energy above the most stable polymorph in this dataset   0 meV/atom

Cell lengths 7.610, 7.610, 5.269 Å; angles 90.00, 90.00, 90.00 degrees
Fractional coordinates of all 10 atoms:
In1 0.168 0.332 0.000
In2 0.332 0.832 0.000
In3 0.668 0.168 0.000
In4 0.832 0.668 0.000
Pd1 0.000 0.000 0.000
Pd2 0.500 0.500 0.000
I1 0.173 0.673 0.500
I2 0.327 0.173 0.500
I3 0.673 0.827 0.500
I4 0.827 0.327 0.500



No. 3
The following is a GGA-PBE calculation of a relaxed Y2Co12B7 crystal, from the Alexandria database.

Results
Space-group type   P-6, No. 174
Formation enthalpy at 0 K   -0.33 eV/atom
Final energy   -7.2295 eV per atom

Cell lengths 8.468, 8.468, 3.391 Å; angles 90.00, 90.00, 120.00 degrees
Fractional coordinates of all 21 atoms:
Y1 0.000 0.000 0.000
Y2 0.333 0.667 0.500
Co1 0.036 0.758 0.500
Co2 0.099 0.378 0.000
Co3 0.242 0.279 0.500
Co4 0.279 0.901 0.000
Co5 0.455 0.239 0.000
Co6 0.513 0.064 0.500
Co7 0.551 0.487 0.500
Co8 0.622 0.721 0.000
Co9 0.721 0.964 0.500
Co10 0.761 0.216 0.000
Co11 0.784 0.545 0.000
Co12 0.936 0.449 0.500
B1 0.055 0.619 0.000
B2 0.263 0.034 0.500
B3 0.381 0.435 0.000
B4 0.565 0.945 0.000
B5 0.667 0.333 0.500
B6 0.771 0.737 0.500
B7 0.966 0.229 0.500



No. 4
The following is a GGA-PBE calculation of a relaxed Pm2Tm3Sc3 crystal, from the Alexandria database.

Results
Space-group type   R32, No. 155
Formation enthalpy at 0 K   0.15 eV/atom
Final energy   -5.0915 eV per atom
Energy above the most stable polymorph in this dataset   37 meV/atom

Cell lengths 6.240, 6.240, 6.240 Å; angles 96.05, 96.05, 96.05 degrees
Fractional coordinates of all 8 atoms:
Pm1 0.211 0.211 0.211
Pm2 0.789 0.789 0.789
Tm1 0.214 0.500 0.786
Tm2 0.500 0.786 0.214
Tm3 0.786 0.214 0.500
Sc1 0.000 0.697 0.303
Sc2 0.303 0.000 0.697
Sc3 0.697 0.303 0.000



No. 5
The following is a GGA-PBE calculation of a relaxed SrSi2P crystal, from the Alexandria database.

Results
Space-group type   Fmmm, No. 69
Final energy   -4.2961 eV per atom

Cell lengths 6.025, 6.019, 4.075 Å; angles 70.30, 70.15, 39.55 degrees
Fractional coordinates of all 4 atoms:
Sr1 0.000 0.000 0.000
Si1 0.000 0.500 0.000
Si2 0.500 0.000 0.500
P1 0.500 0.500 0.500



No. 6
The following is a GGA-PBE calculation of a relaxed CsK2TlGe crystal, from the Alexandria database.

Results
Space-group type   P4/mmm, No. 123
Formation enthalpy at 0 K   0.04 eV/atom
Final energy   -1.9666 eV per atom

Cell lengths 6.755, 6.755, 5.571 Å; angles 90.00, 90.00, 90.00 degrees
Fractional coordinates of all 5 atoms:
Cs1 0.000 0.000 0.000
K1 0.000 0.500 0.500
K2 0.500 0.000 0.500
Tl1 0.500 0.500 0.000
Ge1 0.500 0.500 0.500



No. 7
The following is a GGA-PBE calculation of a relaxed BeCr3Te crystal, from the Alexandria database.

Results
Space-group type   Pm-3m, No. 221
Final energy   -6.4547 eV per atom
Energy above the most stable polymorph in this dataset   0 meV/atom

Cell lengths 4.159, 4.159, 4.159 Å; angles 90.00, 90.00, 90.00 degrees
Fractional coordinates of all 5 atoms:
Be1 0.000 0.000 0.000
Cr1 0.000 0.000 0.500
Cr2 0.000 0.500 0.000
Cr3 0.500 0.000 0.000
Te1 0.500 0.500 0.500



No. 8
The following is a GGA-PBE calculation of a relaxed Na4As2O7 crystal, from the Alexandria database.

Results
Space-group type   C2/c, No. 15
Final energy   -5.4304 eV per atom

Cell lengths 5.966, 5.966, 12.541 Å; angles 91.32, 91.32, 119.07 degrees
Fractional coordinates of all 26 atoms:
Na1 0.022 0.666 0.628
Na2 0.297 0.324 0.095
Na3 0.324 0.297 0.595
Na4 0.334 0.978 0.872
Na5 0.666 0.022 0.128
Na6 0.676 0.703 0.405
Na7 0.703 0.676 0.905
Na8 0.978 0.334 0.372
As1 0.010 0.706 0.139
As2 0.294 0.990 0.361
As3 0.706 0.010 0.639
As4 0.990 0.294 0.861
O1 0.022 0.446 0.185
O2 0.065 0.935 0.250
O3 0.108 0.753 0.443
O4 0.247 0.892 0.057
O5 0.286 0.355 0.906
O6 0.355 0.286 0.406
O7 0.446 0.022 0.685
O8 0.554 0.978 0.315
O9 0.645 0.714 0.594
O10 0.714 0.645 0.094
O11 0.753 0.108 0.943
O12 0.892 0.247 0.557
O13 0.935 0.065 0.750
O14 0.978 0.554 0.815



No. 9
The following is a GGA-PBE calculation of a relaxed La2TmScAs4 crystal, from the Alexandria database.

Results
Space-group type   P2/m, No. 10
Formation enthalpy at 0 K   -1.47 eV/atom
Final energy   -6.3790 eV per atom

Cell lengths 7.213, 4.188, 7.246 Å; angles 90.00, 109.56, 90.00 degrees
Fractional coordinates of all 8 atoms:
La1 0.000 0.000 0.000
La2 0.000 0.500 0.500
Tm1 0.500 0.000 0.500
Sc1 0.500 0.500 0.000
As1 0.271 0.500 0.252
As2 0.274 0.000 0.763
As3 0.726 0.000 0.237
As4 0.729 0.500 0.748



Q: Look up the final energy of the seventh one.
A: -6.4547 eV per atom